Compound: TiZnAg2Cl
Source: the Alexandria database
Functional: GGA-PBE
Structure: relaxed

```
data_TiZnAg2Cl
_chemical_formula_sum 'Ti1 Zn1 Ag2 Cl1'
_space_group_name_H-M_alt 'P 1'
_space_group_IT_number 1
_space_group_name_Hall 'P 1'
_cell_length_a 4.972
_cell_length_b 4.488
_cell_length_c 4.972
_cell_angle_alpha 90.00
_cell_angle_beta 90.00
_cell_angle_gamma 90.00
loop_
_atom_site_label
_atom_site_type_symbol
_atom_site_fract_x
_atom_site_fract_y
_atom_site_fract_z
_atom_site_occupancy
Zn1 Zn 0.500 0.500 0.500 1
Cl1 Cl 0.000 0.000 0.000 1
Ag1 Ag 0.000 0.000 0.500 1
Ag2 Ag 0.500 0.000 0.000 1
Ti1 Ti 0.000 0.500 0.000 1
```

Computed properties:
The value obtained for the total magnetic moment is 0.29 μB/atom. The value obtained for the calculated density is 5.5 g/cm³. As for the space-group type: No. 123. As for the uncorrected formation energy: 2.9 eV per formula unit. As for the total energy: -13.83 eV per cell. The calculation puts the density of states at the Fermi level at 2.9 states/eV/f.u.